# Er2Ga9Rh

Crystalline Er2Ga9Rh at its relaxed geometry (GGA-PBE, Alexandria).

Calculated values
calculated total energy: -4.063 eV per atom
total magnetization: 0.0 μB/f.u.

Cell: 4.2344 4.2344 12.1046 Å, 90.00 90.00 90.00°
Sites, in units of the cell vectors:
Ga 0.5000 0.5000 0.0000
Ga 0.5000 0.5000 0.6653
Ga 0.0000 0.5000 0.1408
Ga 0.5000 0.0000 0.5000
Ga 0.0000 0.5000 0.8592
Ga 0.5000 0.5000 0.3347
Ga 0.0000 0.5000 0.5000
Ga 0.5000 0.0000 0.1408
Ga 0.5000 0.0000 0.8592
Er 0.0000 0.0000 0.6837
Er 0.0000 0.0000 0.3163
Rh 0.0000 0.0000 0.0000